Below is a relaxed CsPuCdBr6 crystal, with properties calculated at the PBE level.

```
CsPuCdBr6
1.0
-5.041 5.299 7.454
5.041 -5.299 7.454
5.041 5.299 -7.454
Cs Pu Cd Br
2 2 2 12
Cartesian
0.000 2.650 0.853 Cs
5.041 2.650 6.601 Cs
5.041 0.000 0.000 Pu
0.000 0.000 7.454 Pu
2.521 2.650 -3.727 Cd
2.521 -2.650 3.727 Cd
5.041 -2.650 4.694 Br
2.870 -0.556 1.792 Br
7.213 -0.556 1.792 Br
2.870 4.743 -1.792 Br
5.041 2.650 1.147 Br
2.172 -0.556 5.662 Br
2.870 5.855 1.792 Br
0.000 2.650 6.308 Br
2.172 0.556 9.247 Br
-2.172 5.855 5.662 Br
2.172 5.855 5.662 Br
0.000 7.949 2.761 Br
```

Output
- Energy: -4.224 eV per atom
- Symmetry: Imma, No. 74
- ρ: 4.04 g/cm3